Material: Ta2HgAs
Method: DFT, GGA-PBEsol
State: relaxed

CIF file:
```
data_Ta2HgAs
_chemical_formula_sum 'Ta4 Hg2 As2'
_symmetry_space_group_name_H-M 'C 1 2/m 1'
_symmetry_Int_Tables_number 12
_symmetry_space_group_name_Hall '-C 2y'
_cell_length_a 5.874
_cell_length_b 8.644
_cell_length_c 2.935
_cell_angle_alpha 90.00
_cell_angle_beta 107.65
_cell_angle_gamma 90.00
loop_
_atom_site_label
_atom_site_fract_x
_atom_site_fract_y
_atom_site_fract_z
Ta1 0.250 0.250 0.000
Hg1 0.000 0.000 0.500
As1 0.000 0.500 0.500
```

## Properties
N(E_F) = 4.6 states/eV/cell
ΔE to the lowest computed polymorph = 127 meV/atom
Total moment = 0.00 μB/f.u.
DFT formation energy = 0.21 eV per atom